## TaAs2W (PBE)

Data for TaAs2W after structural relaxation.

Calculated values
Excess energy over the best structure of this formula in the dataset   392.8 meV per atom
Total magnetic moment   0.00 Bohr magnetons per cell
SG   C2/m
ΔH_f (0 K)   0.8 eV/f.u.
VASP energy   -33.28 eV for the cell shown

Unit cell a=4.3335 b=4.3335 c=5.4208 alpha=78.43 beta=78.43 gamma=42.48
With the nearest neighbours (Å) after each atom.
Positions (direct):
As 0.9970 0.9970 0.0124  3 W 2.64-2.65, 3 Ta 2.69-2.72
As 0.5030 0.5030 0.4876  3 W 2.64-2.65, 3 Ta 2.69-2.72
W 0.2500 0.2500 0.2500  6 As 2.64-2.65
Ta 0.7500 0.7500 0.7500  6 As 2.69-2.72

## TaAsW (PBE)

Data for TaAsW after structural relaxation.

Calculated values
Excess energy over the best structure of this formula in the dataset   628.1 meV per atom
Total magnetic moment   0.00 Bohr magnetons per cell
SG   F-43m
ΔH_f (0 K)   1.8 eV/f.u.
VASP energy   -27.65 eV for the cell shown

Unit cell a=4.3622 b=4.3622 c=4.3622 alpha=60.00 beta=60.00 gamma=60.00
With the nearest neighbours (Å) after each atom.
Positions (direct):
As 0.0000 0.0000 0.0000  4 W 2.67
W 0.7500 0.7500 0.7500  4 As 2.67, 4 Ta 2.67
Ta 0.5000 0.5000 0.5000  4 W 2.67